A geometry-optimized CaCr3C4O12 structure. Source: the Alexandria database, functional GGA+U.

## Properties
total magnetic moment	12.00	μB per formula unit

Lattice parameters (Å, degrees): 6.2837 6.2837 6.2837 102.61 102.61 102.61
Element x y z (fractional)
Ca  0.0000  0.0000  0.0000
Cr  0.5375  0.4625  0.0000
Cr  0.4625  0.0000  0.5375
Cr  0.0000  0.5375  0.4625
C  0.9612  0.0388  0.5000
C  0.0388  0.5000  0.9612
C  0.5000  0.9612  0.0388
C  0.5000  0.5000  0.5000
O  0.5000  0.3682  0.6318
O  0.9052  0.5000  0.0948
O  0.0948  0.9052  0.5000
O  0.5000  0.0948  0.9052
O  0.3784  0.9761  0.1802
O  0.1802  0.3784  0.9761
O  0.9761  0.1802  0.3784
O  0.6216  0.8198  0.0239
O  0.0239  0.6216  0.8198
O  0.8198  0.0239  0.6216
O  0.6318  0.5000  0.3682
O  0.3682  0.6318  0.5000

A geometry-optimized YCoO2 structure. Source: the Alexandria database, functional GGA+U.

## Properties
total magnetic moment	2.02	μB per formula unit

Lattice parameters (Å, degrees): 3.9896 3.9896 3.9896 60.00 60.00 60.00
Element x y z (fractional)
Y  0.5000  0.5000  0.5000
Co  0.0000  0.0000  0.0000
O  0.2500  0.2500  0.2500
O  0.7500  0.7500  0.7500

Let's list E in order: -0.28342, -0.25740 hartree per atom.